(1)
Entry from Alexandria: a geometry-optimized Er2Sc2Bi2P structure (PBE).

- Formation energy from the elements: -803.9 meV/atom

POSCAR file:
```
Er2Sc2Bi2P
1.0
-2.4190 2.4190 7.9995
2.4190 -2.4190 7.9995
2.4190 2.4190 -7.9995
Er Sc Bi P
2 2 2 1
Direct
0.1660 0.1660 0.0000
0.8340 0.8340 0.0000
0.0000 0.5000 0.5000
0.5000 0.0000 0.5000
0.3625 0.3625 0.0000
0.6375 0.6375 0.0000
0.0000 0.0000 0.0000
```

---

(2)
Entry from Alexandria: a geometry-optimized Er6BiP2Se3 structure (PBE).

- E_form (uncorrected): -150.04 kJ/mol of atoms

POSCAR file:
```
Er6BiP2Se3
1.0
8.9253 -2.0324 0.0000
8.9253 2.0324 0.0000
-1.8583 0.0000 8.0299
Er Bi P Se
6 1 2 3
Direct
0.0109 0.0109 0.2706
0.3252 0.3252 0.8873
0.3263 0.3263 0.4269
0.6737 0.6737 0.5731
0.6748 0.6748 0.1127
0.9891 0.9891 0.7294
0.5000 0.5000 0.0000
0.1687 0.1687 0.3385
0.8313 0.8313 0.6615
0.1623 0.1623 0.8343
0.5000 0.5000 0.5000
0.8377 0.8377 0.1657
```

---

(3)
Entry from Alexandria: a geometry-optimized Er6BiP3Se2 structure (PBE).

- E_form (uncorrected): -149.76 kJ/mol of atoms

POSCAR file:
```
Er6BiP3Se2
1.0
8.9233 -2.0212 0.0000
8.9233 2.0212 0.0000
-2.0540 0.0000 7.9643
Er Bi P Se
6 1 3 2
Direct
0.0041 0.0041 0.2284
0.3249 0.3249 0.4272
0.3374 0.3374 0.9046
0.6626 0.6626 0.0954
0.6751 0.6751 0.5728
0.9959 0.9959 0.7716
0.5000 0.5000 0.5000
0.1664 0.1664 0.3309
0.5000 0.5000 0.0000
0.8336 0.8336 0.6691
0.1686 0.1686 0.8364
0.8314 0.8314 0.1636
```

---

Copy entry 3 word for word.
Entry from Alexandria: a geometry-optimized Er6BiP3Se2 structure (PBE).

- E_form (uncorrected): -149.76 kJ/mol of atoms

POSCAR file:
```
Er6BiP3Se2
1.0
8.9233 -2.0212 0.0000
8.9233 2.0212 0.0000
-2.0540 0.0000 7.9643
Er Bi P Se
6 1 3 2
Direct
0.0041 0.0041 0.2284
0.3249 0.3249 0.4272
0.3374 0.3374 0.9046
0.6626 0.6626 0.0954
0.6751 0.6751 0.5728
0.9959 0.9959 0.7716
0.5000 0.5000 0.5000
0.1664 0.1664 0.3309
0.5000 0.5000 0.0000
0.8336 0.8336 0.6691
0.1686 0.1686 0.8364
0.8314 0.8314 0.1636
```